Entry 1:
Below is a geometry-optimized TbAgRhAu structure, with properties calculated at the GGA-PBE level.

Summary:
E above lowest polymorph in meV per atom: 0
Calculated formation energy in eV per atom: -0.5524

Geometry as POSCAR:
```
TbAgRhAu
1.0
4.0460 0.0000 0.0000
0.0000 4.1188 0.0000
0.0000 0.0000 4.4841
Tb Ag Rh Au
1 1 1 1
Cartesian
2.0230 0.0000 2.2421
2.0230 2.0594 0.0000
0.0000 2.0594 2.2421
0.0000 0.0000 0.0000
```

Entry 2:
Below is a geometry-optimized Th2AgRhAu structure, with properties calculated at the GGA-PBE level.

Summary:
Calculated formation energy in eV per atom: -0.5205

Geometry as POSCAR:
```
Th2AgRhAu
1.0
4.0185 0.0000 0.0000
0.0000 8.0410 0.2358
0.0000 -3.2065 7.3835
Th Ag Rh Au
4 2 2 2
Cartesian
3.0139 4.9487 4.8643
3.0139 2.4526 7.5365
1.0046 -0.1143 2.7551
1.0046 2.3819 0.0829
1.0046 4.6775 2.4434
3.0139 0.1569 5.1760
1.0046 4.3643 6.7566
3.0139 0.4701 0.8628
1.0046 2.2491 4.9318
3.0139 2.5853 2.6875
```

Entry 3:
Below is a geometry-optimized TlAgRhAu structure, with properties calculated at the GGA-PBE level.

Summary:
Calculated formation energy in eV per atom: 0.1307

Geometry as POSCAR:
```
TlAgRhAu
1.0
-0.1323 -3.0353 -3.5697
1.4654 -4.4096 0.6174
-3.0986 -3.5173 0.0279
Rh Tl Au Ag
1 1 1 1
Cartesian
-1.3242 -8.2217 -2.1933
-0.8828 -5.4811 -1.4622
0.0000 0.0000 0.0000
-0.4414 -2.7406 -0.7311
```